Density functional theory data (PBE with a Hubbard U) for an optimized crystal structure of SrHoW2O8.

Results
Electronic total energy ... -7.41 eV/atom
Crystal system ... trigonal

Lattice parameters (Å, degrees): 6.0016 6.0016 7.0761 90.00 90.00 120.00
Fractional positions:
Sr 0.0000 0.0000 0.0000
Ho 0.0000 0.0000 0.5000
W 0.3333 0.6667 0.7876
W 0.6667 0.3333 0.2124
O 0.1623 0.3246 0.7091
O 0.1623 0.8377 0.7091
O 0.3246 0.1623 0.2909
O 0.3333 0.6667 0.0419
O 0.6667 0.3333 0.9581
O 0.6754 0.8377 0.7091
O 0.8377 0.1623 0.2909
O 0.8377 0.6754 0.2909